The following is a DFT calculation (GGA-PBEsol) of a relaxed structure of BaB2PI.

Lattice parameters (Å, degrees): 5.2345 5.2345 5.4954 90.00 90.00 90.00
Closest atoms and distances in Å follow each position.
Space group P4/mmm (No. 123)
Unique sites:
Ba 0.0000 0.0000 0.0000 [1 per cell]  4 B 2.62, 2 P 2.75
B 0.0000 0.5000 0.0000 [2 per cell]  2 Ba 2.62
P 0.0000 0.0000 0.5000 [1 per cell]  2 Ba 2.75
I 0.5000 0.5000 0.5000 [1 per cell]  4 P 3.70, 8 B 3.79

Computed properties:
N(E_F)	7.78	states/eV/cell
raw total energy	-2.41	eV/atom
theoretical density	3.5	g/cm³
ΔE_f (raw)	11.67	eV/f.u.



The following is a DFT calculation (GGA-PBEsol) of a relaxed structure of Ba2ZrBI.

Lattice parameters (Å, degrees): 6.3389 6.3389 5.2422 90.00 90.00 90.00
Closest atoms and distances in Å follow each position.
Space group P4/mmm (No. 123)
Unique sites:
Ba 0.0000 0.5000 0.0000 [2 per cell]  2 I 3.17
Zr 0.0000 0.0000 0.5000 [1 per cell]  2 I 2.62
B 0.5000 0.5000 0.5000 [1 per cell]  8 Ba 4.11, 4 Zr 4.48
I 0.0000 0.0000 0.0000 [1 per cell]  2 Zr 2.62

Computed properties:
N(E_F)	5.55	states/eV/cell
raw total energy	-3.31	eV/atom
theoretical density	4.0	g/cm³
ΔE_f (raw)	5.62	eV/f.u.